Material: MnTeF6
Method: DFT, PBE+U
State: relaxed

a = 5.4050 Å, b = 5.2218 Å, c = 5.2218 Å
α = 117.63°, β = 96.31°, γ = 96.31°
Last column: magnetic moment on the atom in μB.
Fractional coordinates of all 8 atoms:
Mn  0.0000  0.0000  0.0000  4.69
Te  0.5000  0.5000  0.5000  0.03
F  0.7432  0.5965  0.8905  0.01
F  0.7432  0.8905  0.5965  0.01
F  0.2568  0.1095  0.4035  0.01
F  0.2568  0.4035  0.1095  0.01
F  0.7484  0.2527  0.2527  0.01
F  0.2516  0.7473  0.7473  0.01

## Properties
As for the space group: C2/m, No. 12. The value obtained for the energy above the lowest structure with this stoichiometry is 0.055 eV per atom.